# TaHg5

An optimized crystal structure of TaHg5 (GGA-PBEsol, Alexandria via LeMat-Bulk).

- Magnetic moment: 0.0 μB/f.u.
- Final energy: -2.36 eV per atom
- Energy relative to the elements: 0.205 eV/atom
- Volume: 126.2 Å³/f.u.

Lattice parameters (Å, degrees): 2.9744 2.9744 14.2613 90.00 90.00 90.00
Sites, in units of the cell vectors:
Ta 0.0000 0.0000 0.0000
Hg 0.0000 0.0000 0.3227
Hg 0.0000 0.0000 0.6773
Hg 0.5000 0.5000 0.1467
Hg 0.5000 0.5000 0.5000
Hg 0.5000 0.5000 0.8533

---

# Ta5Hg

An optimized crystal structure of Ta5Hg (GGA-PBEsol, Alexandria via LeMat-Bulk).

- Magnetic moment: 0.0 μB/f.u.
- Final energy: -10.45 eV per atom
- Energy relative to the elements: 0.108 eV/atom
- Volume: 107.0 Å³/f.u.

Lattice parameters (Å, degrees): 6.9355 6.9355 4.5794 90.00 90.00 150.94
Sites, in units of the cell vectors:
Ta 0.0000 0.0000 0.0000
Ta 0.1691 0.8309 0.5000
Ta 0.3342 0.6658 0.0000
Ta 0.6658 0.3342 0.0000
Ta 0.8309 0.1691 0.5000
Hg 0.5000 0.5000 0.5000

---

# Ta3Hg

An optimized crystal structure of Ta3Hg (GGA-PBEsol, Alexandria via LeMat-Bulk).

- Magnetic moment: 0.0 μB/f.u.
- Final energy: -9.36 eV per atom
- Energy relative to the elements: 0.197 eV/atom
- Volume: 71.3 Å³/f.u.

Lattice parameters (Å, degrees): 4.1463 4.1463 4.1463 90.00 90.00 90.00
Sites, in units of the cell vectors:
Ta 0.0000 0.0000 0.5000
Ta 0.0000 0.5000 0.0000
Ta 0.5000 0.0000 0.0000
Hg 0.5000 0.5000 0.5000

---

# Ta3Hg

An optimized crystal structure of Ta3Hg (GGA-PBEsol, Alexandria via LeMat-Bulk).

- Magnetic moment: 0.0 μB/f.u.
- Final energy: -9.36 eV per atom
- Energy relative to the elements: 0.198 eV/atom
- Volume: 72.3 Å³/f.u.

Lattice parameters (Å, degrees): 2.8136 4.7042 5.5493 90.00 100.04 90.00
Sites, in units of the cell vectors:
Ta 0.0000 0.0000 0.0000
Ta 0.2395 0.5000 0.7661
Ta 0.7605 0.5000 0.2339
Hg 0.5000 0.0000 0.5000

---

# TaTc2Hg

An optimized crystal structure of TaTc2Hg (GGA-PBEsol, Alexandria via LeMat-Bulk).

- Magnetic moment: 0.0 μB/f.u.
- Final energy: -8.68 eV per atom
- Energy relative to the elements: 0.233 eV/atom
- Volume: 63.4 Å³/f.u.

Lattice parameters (Å, degrees): 4.9422 4.9422 4.9422 132.99 132.99 68.67
Sites, in units of the cell vectors:
Ta 0.0000 0.0000 0.0000
Tc 0.5000 0.5000 0.0000
Tc 0.7500 0.2500 0.5000
Hg 0.2500 0.7500 0.5000

---

# TaTc2Hg

An optimized crystal structure of TaTc2Hg (GGA-PBEsol, Alexandria via LeMat-Bulk).

- Magnetic moment: 0.0 μB/f.u.
- Final energy: -8.63 eV per atom
- Energy relative to the elements: 0.281 eV/atom
- Volume: 67.1 Å³/f.u.

Lattice parameters (Å, degrees): 8.7892 8.7892 8.7892 19.65 19.65 19.65
Sites, in units of the cell vectors:
Ta 0.0000 0.0000 0.0000
Tc 0.2570 0.2570 0.2570
Tc 0.7430 0.7430 0.7430
Hg 0.5000 0.5000 0.5000